Record 1
A relaxed structure of CdSbTe2O. Source: the Alexandria database, functional PBE-GGA.

Cell: 5.511 5.511 5.576 Å, 90.00 90.00 90.00°
Positions (direct):
Sb 0.000 0.000 0.500
Te 0.000 0.500 0.000
Te 0.500 0.000 0.000
O 0.500 0.500 0.500
Cd 0.000 0.000 0.000

Calculated values
The spin magnetization comes out at 0.0 Bohr magnetons per cell. The crystal system is tetragonal. The formation energy without anion corrections is 1.169 eV/atom. The calculation puts the energy at -10.44 eV for the cell shown.

Record 2
A relaxed structure of Sm6Zn5Os. Source: the Alexandria database, functional PBE-GGA.

Cell: 5.105 7.271 8.061 Å, 90.00 71.61 90.00°
Positions (direct):
Zn 0.668 0.500 0.664
Zn 0.325 0.000 0.351
Zn 0.000 0.500 0.000
Zn 0.675 0.000 0.649
Zn 0.332 0.500 0.336
Os 0.000 0.000 0.000
Sm 0.841 0.756 0.318
Sm 0.841 0.244 0.318
Sm 0.500 0.236 0.000
Sm 0.500 0.764 0.000
Sm 0.159 0.756 0.682
Sm 0.159 0.244 0.682

Calculated values
The spin magnetization comes out at 0.0 Bohr magnetons per cell. The crystal system is monoclinic. The calculation puts the energy at -49.51 eV for the cell shown.

Record 3
A relaxed structure of RbPS2F. Source: the Alexandria database, functional PBE-GGA.

Cell: 5.696 5.696 3.728 Å, 90.00 90.00 90.00°
Positions (direct):
P 0.000 0.000 0.500
S 0.000 0.500 0.000
S 0.500 0.000 0.000
Rb 0.500 0.500 0.500
F 0.000 0.000 0.000

Calculated values
The spin magnetization comes out at 1.2 Bohr magnetons per cell. The crystal system is tetragonal. The formation energy without anion corrections is 0.212 eV/atom. The calculation puts the energy at -15.44 eV for the cell shown.

Record 4
A relaxed structure of MgTlSi3. Source: the Alexandria database, functional PBE-GGA.

Cell: 4.998 4.998 4.998 Å, 90.00 90.00 90.00°
Positions (direct):
Mg 0.000 0.000 0.000
Tl 0.500 0.500 0.500
Si 0.000 0.500 0.000
Si 0.000 0.000 0.500
Si 0.500 0.000 0.000

Calculated values
The spin magnetization comes out at 0.0 Bohr magnetons per cell. The crystal system is cubic. The formation energy without anion corrections is 0.979 eV/atom. The calculation puts the energy at -15.34 eV for the cell shown.

Record 5
A relaxed structure of TlGeSeN2. Source: the Alexandria database, functional PBE-GGA.

Cell: 4.309 4.309 5.903 Å, 90.00 90.00 90.00°
Positions (direct):
Tl 0.000 0.000 0.000
Ge 0.500 0.500 0.500
Se 0.000 0.000 0.500
N 0.000 0.500 0.000
N 0.500 0.000 0.000

Calculated values
The spin magnetization comes out at 2.7 Bohr magnetons per cell. The crystal system is tetragonal. The formation energy without anion corrections is 1.734 eV/atom. The calculation puts the energy at -18.45 eV for the cell shown.

Record 6
A relaxed structure of Pm8SmTm2. Source: the Alexandria database, functional PBE-GGA.

Cell: 5.661 10.291 10.291 Å, 40.06 93.11 93.11°
Positions (direct):
Pm 0.269 0.135 0.599
Pm 0.269 0.599 0.135
Pm 0.731 0.865 0.401
Pm 0.237 0.545 0.545
Pm 0.731 0.401 0.865
Pm 0.231 0.188 0.188
Pm 0.769 0.812 0.812
Pm 0.763 0.455 0.455
Sm 0.000 0.000 0.000
Tm 0.746 0.285 0.285
Tm 0.254 0.715 0.715

Calculated values
The spin magnetization comes out at 0.0 Bohr magnetons per cell. The crystal system is monoclinic. The calculation puts the energy at -50.02 eV for the cell shown.

Record 7
A relaxed structure of Li3SnRh2O6. Source: the Alexandria database, functional PBE-GGA.

Cell: 5.551 5.551 5.084 Å, 98.29 98.29 122.24°
Positions (direct):
Li 0.200 0.800 0.500
Li 0.800 0.200 0.500
Li 0.500 0.500 0.500
Sn 0.000 0.000 0.000
Rh 0.332 0.668 0.000
Rh 0.668 0.332 0.000
O 0.931 0.604 0.766
O 0.722 0.722 0.219
O 0.069 0.396 0.234
O 0.604 0.931 0.766
O 0.278 0.278 0.781
O 0.396 0.069 0.234

Calculated values
The spin magnetization comes out at 0.5 Bohr magnetons per cell. The crystal system is monoclinic. The formation energy without anion corrections is -1.305 eV/atom. The calculation puts the energy at -69.86 eV for the cell shown.

Record 8
A relaxed structure of TaRuRh2. Source: the Alexandria database, functional PBE-GGA.

Cell: 4.750 4.750 4.750 Å, 131.00 131.00 71.81°
Positions (direct):
Rh 0.000 0.000 0.000
Rh 0.250 0.750 0.500
Ru 0.500 0.500 0.000
Ta 0.750 0.250 0.500

Calculated values
The spin magnetization comes out at 0.0 Bohr magnetons per cell. The crystal system is tetragonal. The calculation puts the energy at -37.21 eV for the cell shown.